[1]
TlFeHgMo | PBE | optimized geometry

Output
* size of the total moment: 3.8 μB/f.u.
* relative energy among the computed polymorphs: 0.000 eV per atom

Geometry as POSCAR:
```
TlFeHgMo
1.0
0.000 3.310 3.310
3.310 0.000 3.310
3.310 3.310 0.000
Fe Mo Hg Tl
1 1 1 1
Cartesian
4.965 4.965 4.965
1.655 1.655 1.655
3.310 3.310 3.310
0.000 0.000 0.000
```

=====

[2]
ZrCdSn2 | PBE | optimized geometry

Output
* size of the total moment: 0.0 μB/f.u.

Geometry as POSCAR:
```
ZrCdSn2
1.0
0.000 3.656 3.656
3.656 0.000 3.656
3.656 3.656 0.000
Cd Sn Zr
1 2 1
Cartesian
5.485 5.485 5.485
3.656 3.656 3.656
1.828 1.828 1.828
0.000 0.000 0.000
```

=====

[3]
CdSiAg2SeS3 | PBE | optimized geometry

Geometry as POSCAR:
```
CdSiAg2SeS3
1.0
4.044 -3.988 0.000
4.044 3.988 0.000
-4.021 0.000 5.839
Ag S Se Si Cd
2 3 1 1 1
Cartesian
2.024 1.861 2.862
2.024 -1.861 2.862
1.786 0.000 4.593
4.054 -1.725 1.335
4.054 1.725 1.335
-1.755 0.000 4.459
4.082 0.000 0.046
8.068 0.000 0.025
```

=====

[4]
Dy4CuPt3 | PBE | optimized geometry

Output
* size of the total moment: 0.0 μB/f.u.
* energy of formation from the pure elements: -1057 meV per atom

Geometry as POSCAR:
```
Dy4CuPt3
1.0
5.568 0.000 0.000
0.000 4.484 0.000
-0.049 0.000 7.055
Cu Dy Pt
1 4 3
Cartesian
3.511 0.000 3.793
4.808 2.242 2.206
3.513 2.242 5.811
0.744 0.000 4.820
1.979 0.000 1.273
4.678 0.000 0.320
0.814 2.242 6.719
2.029 2.242 3.279
```

=====

[5]
PrMgGa | PBE | optimized geometry

Output
* size of the total moment: 0.1 μB/f.u.
* relative energy among the computed polymorphs: 0.260 eV per atom

Geometry as POSCAR:
```
PrMgGa
1.0
8.145 0.000 0.000
-4.072 7.053 0.000
0.000 0.000 4.171
Mg Ga Pr
3 3 3
Cartesian
4.883 0.000 2.086
1.631 2.825 2.086
-2.441 4.229 2.086
4.072 2.351 0.000
0.000 4.702 0.000
0.000 0.000 2.086
2.175 0.000 0.000
2.985 5.170 0.000
-1.087 1.883 0.000
```

=====

[6]
CsZrAuS3 | PBE | optimized geometry

Output
* size of the total moment: 0.0 μB/f.u.
* relative energy among the computed polymorphs: 0.080 eV per atom

Geometry as POSCAR:
```
CsZrAuS3
1.0
10.132 0.000 0.000
0.000 3.870 0.000
0.000 0.000 15.806
Au S Zr Cs
4 12 4 4
Cartesian
1.101 2.902 2.698
9.031 0.967 13.108
3.965 0.967 10.602
6.167 2.902 5.205
9.884 2.902 14.472
7.131 0.967 0.096
3.001 2.902 15.711
2.564 0.967 12.509
7.630 0.967 11.201
8.068 2.902 7.999
2.502 2.902 4.605
4.818 2.902 9.237
7.568 2.902 3.298
5.314 0.967 6.569
0.248 0.967 1.334
2.065 0.967 7.807
8.463 2.902 1.085
3.397 2.902 6.818
1.670 0.967 14.721
6.736 0.967 8.988
0.501 2.902 10.333
4.565 0.967 2.429
5.568 2.902 13.377
9.631 0.967 5.474
```

=====

[7]
Ho5Co2Bi | PBE | optimized geometry

Output
* size of the total moment: 0.0 μB/f.u.

Geometry as POSCAR:
```
Ho5Co2Bi
1.0
4.867 3.643 4.473
-5.769 3.007 3.828
0.510 -8.666 0.135
Ho Bi Co
10 2 4
Cartesian
1.248 -5.566 1.163
0.000 0.000 0.000
0.768 0.342 3.241
-2.532 -4.733 2.254
-1.160 -2.359 5.195
-3.011 1.175 4.332
-0.451 3.325 4.151
2.141 2.717 6.182
-1.639 3.550 7.273
2.620 -3.192 4.104
0.030 -2.671 2.143
-0.421 0.654 6.293
2.311 2.729 3.369
-1.434 1.590 2.002
0.532 5.060 6.299
-3.212 3.921 4.932
```

=====

[8]
CdBAu2 | PBE | optimized geometry

Geometry as POSCAR:
```
CdBAu2
1.0
0.000 3.235 3.235
3.235 0.000 3.235
3.235 3.235 0.000
Au Cd B
2 1 1
Cartesian
0.000 0.000 0.000
4.852 4.852 4.852
1.617 1.617 1.617
3.235 3.235 3.235
```

=====

[9]
La3Mg3HgPd2 | PBE | optimized geometry

Output
* size of the total moment: 0.0 μB/f.u.

Geometry as POSCAR:
```
La3Mg3HgPd2
1.0
-4.300 -5.053 3.975
7.710 -0.607 0.044
0.183 2.578 3.475
Mg Pd La Hg
3 2 3 1
Cartesian
-3.151 -2.521 4.735
5.905 0.831 1.771
0.930 -0.103 2.726
3.798 -0.800 3.092
-0.205 -2.282 4.402
1.969 -3.268 2.321
-1.817 -2.135 1.680
3.258 -0.257 0.019
0.000 0.000 0.000
```

=====

[10]
RbSmCdTe3 | PBE | optimized geometry

Output
* size of the total moment: 0.0 μB/f.u.

Geometry as POSCAR:
```
RbSmCdTe3
1.0
-4.589 2.028 -8.780
-3.236 -2.339 -9.290
-7.509 -3.002 5.779
Te Cd Sm Rb
6 2 2 2
Cartesian
-7.891 -2.221 -1.913
0.000 0.000 0.000
-7.666 -1.656 -6.145
-7.442 -1.092 -10.378
-11.684 -2.801 -6.998
-3.649 -0.512 -5.293
-9.644 -2.494 -4.218
-5.689 -0.818 -8.072
-1.996 -0.307 -2.667
-13.336 -3.006 -9.624
-9.955 -1.562 -13.015
-5.378 -1.751 0.724
```

=====

[11]
NaDyCdS3 | PBE | optimized geometry

Output
* size of the total moment: 0.0 μB/f.u.
* relative energy among the computed polymorphs: 0.000 eV per atom

Geometry as POSCAR:
```
NaDyCdS3
1.0
14.115 0.000 0.000
0.000 4.023 0.000
0.000 0.000 11.140
S Na Cd Dy
12 4 4 4
Cartesian
8.062 3.017 7.020
11.921 1.006 8.106
13.111 1.006 1.450
6.053 1.006 4.120
5.807 3.017 0.950
4.864 1.006 8.604
8.308 1.006 10.190
9.251 3.017 2.536
1.004 3.017 9.690
1.250 1.006 6.520
12.865 3.017 4.620
2.194 3.017 3.034
10.098 3.017 9.001
4.017 1.006 2.140
11.074 1.006 3.431
3.041 3.017 7.710
7.636 3.017 4.455
0.579 3.017 1.115
13.536 1.006 10.025
6.479 1.006 6.685
6.543 3.017 9.530
13.601 3.017 7.180
7.572 1.006 1.610
0.514 1.006 3.960
```

=====

[12]
ScBeAlNi | PBE | optimized geometry

Output
* size of the total moment: 0.0 μB/f.u.
* relative energy among the computed polymorphs: 0.201 eV per atom

Geometry as POSCAR:
```
ScBeAlNi
1.0
0.000 3.010 3.010
3.010 0.000 3.010
3.010 3.010 0.000
Be Sc Ni Al
1 1 1 1
Cartesian
1.505 1.505 1.505
4.515 4.515 4.515
3.010 3.010 3.010
0.000 0.000 0.000
```

=====

[13]
Cu9Ag | PBE | optimized geometry

Output
* energy of formation from the pure elements: 36 meV per atom
* relative energy among the computed polymorphs: 0.000 eV per atom

Geometry as POSCAR:
```
Cu9Ag
1.0
2.626 0.000 0.000
0.000 3.578 0.000
0.000 0.000 13.184
Cu Ag
9 1
Cartesian
1.313 1.789 5.329
1.313 1.789 7.855
0.000 0.000 11.643
0.000 0.000 1.541
1.313 1.789 2.784
0.000 0.000 4.067
1.313 1.789 10.400
0.000 0.000 6.592
0.000 0.000 9.117
1.313 1.789 0.000
```

=====

[14]
Pd3W2Se2 | PBE | optimized geometry

Output
* size of the total moment: 0.0 μB/f.u.

Geometry as POSCAR:
```
Pd3W2Se2
1.0
-5.384 4.336 0.334
-3.536 -4.672 3.684
6.235 2.155 2.354
Se Pd W
4 6 4
Cartesian
-2.801 -0.887 3.603
-3.376 1.913 2.562
0.690 -0.093 3.810
0.115 2.706 2.769
-1.768 -2.335 1.842
-1.997 4.102 1.998
1.060 0.438 0.592
-0.687 -2.282 4.373
-2.691 2.168 0.167
-3.744 1.383 5.782
2.658 1.793 3.355
-1.452 1.363 4.465
-5.344 0.026 3.016
-1.234 0.457 1.908
```

=====

[15]
Ho2Ga2Ni3Pt | PBE | optimized geometry

Output
* size of the total moment: 0.0 μB/f.u.

Geometry as POSCAR:
```
Ho2Ga2Ni3Pt
1.0
-3.392 -2.171 -1.232
3.160 0.681 -2.700
3.847 -7.493 2.613
Ho Ga Ni Pt
2 2 3 1
Cartesian
-0.221 -3.143 -1.051
2.869 -5.587 1.949
4.775 -7.670 0.370
2.912 -4.041 -0.896
1.679 -3.270 1.140
0.984 -5.491 -0.232
2.333 -8.118 0.684
0.309 -0.601 0.210
```

=====

[16]
Tb2Pr | PBE | optimized geometry

Output
* size of the total moment: 0.0 μB/f.u.
* energy of formation from the pure elements: 2397 meV per atom
* relative energy among the computed polymorphs: 2.125 eV per atom

Geometry as POSCAR:
```
Tb2Pr
1.0
-4.674 -3.056 7.074
-1.583 5.409 7.032
-8.337 3.052 1.551
Tb Pr
4 2
Cartesian
-9.641 3.553 6.647
-7.810 0.499 9.408
-6.264 4.732 9.387
-5.473 2.027 5.871
-7.297 2.703 7.828
-3.649 1.351 3.914
```

=====

[17]
LuTlFeTe3 | PBE | optimized geometry

Output
* size of the total moment: 3.6 μB/f.u.
* relative energy among the computed polymorphs: 0.004 eV per atom

Geometry as POSCAR:
```
LuTlFeTe3
1.0
-0.233 -7.063 -5.473
-1.663 -2.312 3.054
-9.406 5.890 -0.663
Te Tl Lu Fe
6 2 2 2
Cartesian
-7.479 -4.571 -3.250
-7.753 -0.811 -0.552
-1.970 -6.636 -1.813
-9.332 3.151 -1.268
-3.549 -2.674 -2.529
-3.823 1.086 0.168
-3.193 -2.193 0.883
-8.108 -1.291 -3.965
-6.555 1.949 -0.666
-4.747 -5.434 -2.416
-9.998 0.597 -0.710
-1.303 -4.082 -2.372
```

=====

[18]
DyTm2Ga | PBE | optimized geometry

Output
* size of the total moment: 0.0 μB/f.u.
* relative energy among the computed polymorphs: 0.016 eV per atom

Geometry as POSCAR:
```
DyTm2Ga
1.0
3.350 -5.826 0.000
3.350 5.826 0.000
0.000 0.000 5.213
Dy Ga Tm
2 2 4
Cartesian
3.350 -2.040 3.910
3.350 2.040 1.303
3.350 3.903 3.910
3.350 -3.903 1.303
5.101 1.009 3.910
1.599 -1.009 1.303
5.101 -1.009 1.303
1.599 1.009 3.910
```

=====

[19]
CsHfCuTe2S | PBE | optimized geometry

Output
* size of the total moment: 0.0 μB/f.u.

Geometry as POSCAR:
```
CsHfCuTe2S
1.0
1.901 0.702 8.624
-5.557 -0.624 -6.871
0.161 -10.110 0.787
Te Hf Cs Cu S
4 2 2 2 2
Cartesian
-0.800 -9.451 3.444
-0.866 -5.325 3.122
-2.695 -0.581 -0.903
-2.629 -4.706 -0.582
0.000 0.000 0.000
0.081 -5.055 0.394
-0.016 -2.173 4.754
-3.479 -7.858 -2.213
-1.981 -2.523 0.672
-1.513 -7.509 1.869
-5.194 -3.094 -6.003
1.700 -6.938 8.544
```

=====

[20]
GdMgZn | PBE | optimized geometry

Output
* size of the total moment: 0.0 μB/f.u.

Geometry as POSCAR:
```
GdMgZn
1.0
0.307 -1.957 6.110
-0.213 -6.299 1.601
7.770 -0.816 0.350
Zn Mg Gd
4 4 4
Cartesian
6.542 -2.267 2.274
0.847 -7.329 4.956
6.647 -3.051 4.941
3.360 -4.799 1.554
5.926 -5.154 3.064
1.077 -3.129 1.251
0.843 -4.125 4.201
3.173 -5.751 4.865
6.177 -6.381 6.073
3.684 -2.727 3.681
4.170 -1.383 0.743
0.759 -6.316 1.957
```

=====

[21]
HoErCuS3 | PBE | optimized geometry

Output
* size of the total moment: 0.0 μB/f.u.

Geometry as POSCAR:
```
HoErCuS3
1.0
1.858 -6.252 0.000
1.858 6.252 0.000
0.000 0.000 10.079
S Cu Er Ho
6 2 2 2
Cartesian
1.858 4.434 5.838
1.858 -4.434 4.241
1.858 4.434 9.280
1.858 -4.434 0.799
1.858 1.223 7.559
1.858 -1.223 2.520
1.858 5.997 7.559
1.858 -5.997 2.520
1.858 2.880 2.520
1.858 -2.880 7.559
1.858 0.000 5.039
1.858 0.000 0.000
```

=====

[22]
HfCuGeAs | PBE | optimized geometry

Output
* size of the total moment: 0.0 μB/f.u.

Geometry as POSCAR:
```
HfCuGeAs
1.0
3.722 0.000 0.000
0.000 3.722 0.000
0.000 0.000 9.557
Cu Ge As Hf
2 2 2 2
Cartesian
1.861 1.861 4.779
0.000 0.000 4.779
0.000 0.000 0.000
1.861 1.861 0.000
0.000 1.861 3.058
1.861 0.000 6.500
0.000 1.861 7.385
1.861 0.000 2.173
```

=====

| no. | total DFT energy (no corrections) (eV/cell) |
| --- | --- |
| 1 | -18.49 |
| 2 | -16.80 |
| 3 | -31.26 |
| 4 | -48.75 |
| 5 | -30.09 |
| 6 | -125.14 |
| 7 | -88.14 |
| 8 | -11.02 |
| 9 | -35.25 |
| 10 | -43.64 |
| 11 | -109.04 |
| 12 | -20.29 |
| 13 | -35.92 |
| 14 | -94.06 |
| 15 | -43.55 |
| 16 | -13.69 |
| 17 | -56.64 |
| 18 | -35.08 |
| 19 | -60.81 |
| 20 | -31.91 |
| 21 | -68.72 |
| 22 | -49.96 |